[1]
Compound: FeGe2H
Source: Alexandria
Functional: PBE
Structure: relaxed

## Properties
Density of states at the Fermi level in states/eV per cell: 17.43
E above lowest polymorph in kJ/mol of atoms: 0.0
Magnetic moment in μB per formula unit: 2.0
Raw total energy in eV/f.u.: -18.87

a b c (Å): 5.843 5.843 5.843
angles (deg): 90.00 90.00 90.00
Fractional positions:
1 Fe 0.000 0.000 0.000
2 Fe 0.000 0.500 0.500
3 Fe 0.500 0.000 0.500
4 Fe 0.500 0.500 0.000
5 Ge 0.250 0.250 0.250
6 Ge 0.250 0.250 0.750
7 Ge 0.250 0.750 0.250
8 Ge 0.250 0.750 0.750
9 Ge 0.750 0.250 0.250
10 Ge 0.750 0.250 0.750
11 Ge 0.750 0.750 0.250
12 Ge 0.750 0.750 0.750
13 H 0.000 0.000 0.500
14 H 0.000 0.500 0.000
15 H 0.500 0.000 0.000
16 H 0.500 0.500 0.500



[2]
Compound: NaSr2HF
Source: Alexandria
Functional: PBE
Structure: relaxed

## Properties
Density of states at the Fermi level in states/eV per cell: 1.82
Magnetic moment in μB per formula unit: 0.0
Raw total energy in eV/f.u.: -11.61

a b c (Å): 6.550 6.550 4.108
angles (deg): 90.00 90.00 90.00
Fractional positions:
1 Na 0.000 0.000 0.000
2 Sr 0.000 0.500 0.000
3 Sr 0.500 0.000 0.000
4 H 0.500 0.500 0.500
5 F 0.000 0.000 0.500